# LiLa2HgIr PBE optimized geometry
# * excess energy over the best structure of this formula in the dataset: 252 meV per atom
# * ΔE_f: -1.38 eV per formula unit
data_LiLa2HgIr
_cell_length_a 5.5103
_cell_length_b 5.5103
_cell_length_c 5.3726
_cell_angle_alpha 90.00
_cell_angle_beta 90.00
_cell_angle_gamma 90.00
_symmetry_space_group_name_H-M 'P 4/m m m'
_symmetry_Int_Tables_number 123
_symmetry_space_group_name_Hall '-P 4 2'
loop_
_atom_site_label
_atom_site_type_symbol
_atom_site_fract_x
_atom_site_fract_y
_atom_site_fract_z
_atom_site_occupancy
Li1 Li 0.0000 0.0000 0.0000 1
La1 La 0.0000 0.5000 0.5000 1
Hg1 Hg 0.5000 0.5000 0.0000 1
Ir1 Ir 0.5000 0.5000 0.5000 1